The following is a DFT calculation (PBE-GGA) of crystalline Ir4Pb at its relaxed geometry.

DOS at the Fermi energy: 2.0642 states/eV per atom
formation energy from the elements: 1.78 eV/atom
total magnetic moment: 0.00 μB per formula unit
SG: Im-3m

Cell: 5.137 5.137 5.137 Å, 109.47 109.47 109.47°
Element x y z (fractional)
Ir1 0.500 0.000 0.000
Ir2 0.500 0.500 0.500
Ir3 0.000 0.500 0.000
Ir4 0.000 0.000 0.500
Pb1 0.000 0.000 0.000

***

The following is a DFT calculation (PBE-GGA) of crystalline IrC2I at its relaxed geometry.

DOS at the Fermi energy: 0.8686 states/eV per atom
formation energy (no corrections): 1.43 eV per atom
total magnetic moment: 0.86 μB per formula unit
SG: I4_1/amd

Cell: 6.148 6.148 6.163 Å, 60.08 60.08 90.00°
Each line ends with the local moment (μB).
Element x y z (fractional)
I1 0.500 0.500 0.000  0.42
I2 0.250 0.750 0.500  0.42
C1 0.875 0.125 0.250  0.06
C2 0.875 0.625 0.250  0.08
C3 0.375 0.125 0.750  0.05
C4 0.875 0.125 0.750  0.07
Ir1 0.000 0.000 0.000  0.02
Ir2 0.750 0.250 0.500  0.02

***

The following is a DFT calculation (PBE-GGA) of crystalline SrInRu2 at its relaxed geometry.

DOS at the Fermi energy: 1.2810 states/eV per atom
formation energy from the elements: 0.65 eV/atom
total magnetic moment: 0.00 μB per formula unit
SG: R3m

Cell: 9.919 9.919 9.919 Å, 17.94 17.94 17.94°
Element x y z (fractional)
In1 0.737 0.737 0.737
Ru1 0.994 0.994 0.994
Ru2 0.262 0.262 0.262
Sr1 0.507 0.507 0.507

***

The following is a DFT calculation (PBE-GGA) of crystalline Nd4Er5Al at its relaxed geometry.

DOS at the Fermi energy: 1.4064 states/eV per atom
formation energy from the elements: 0.07 eV/atom
total magnetic moment: 0.00 μB per formula unit
SG: I4mm

Cell: 5.681 8.078 8.078 Å, 82.90 69.41 69.41°
Element x y z (fractional)
Nd1 0.456 0.310 0.690
Nd2 0.766 0.690 0.690
Nd3 0.146 0.310 0.310
Nd4 0.456 0.690 0.310
Er1 0.783 0.363 0.000
Er2 0.146 0.000 0.637
Er3 0.783 0.000 0.363
Er4 0.146 0.637 0.000
Er5 0.656 0.000 0.000
Al1 0.171 0.000 0.000

***

The following is a DFT calculation (PBE-GGA) of crystalline Ba2CdSiPd at its relaxed geometry.

DOS at the Fermi energy: 0.5783 states/eV per atom
formation energy (no corrections): -0.35 eV per atom
total magnetic moment: 0.00 μB per formula unit
SG: P4/mmm

Cell: 6.202 6.202 4.646 Å, 90.00 90.00 90.00°
Element x y z (fractional)
Si1 0.000 0.000 0.500
Ba1 0.000 0.500 0.000
Ba2 0.500 0.000 0.000
Pd1 0.000 0.000 0.000
Cd1 0.500 0.500 0.500

***

The following is a DFT calculation (PBE-GGA) of crystalline AcTaBrO4 at its relaxed geometry.

formation energy (no corrections): -2.64 eV per atom
total magnetic moment: 0.00 μB per formula unit
SG: C2/m

Cell: 7.312 7.312 7.433 Å, 78.83 78.83 56.98°
Element x y z (fractional)
Ac1 0.289 0.289 0.827
Ac2 0.711 0.711 0.173
Ta1 0.627 0.627 0.751
Ta2 0.373 0.373 0.249
Br1 0.009 0.009 0.342
Br2 0.991 0.991 0.658
O1 0.310 0.310 0.498
O2 0.690 0.690 0.502
O3 0.117 0.528 0.126
O4 0.520 0.520 0.215
O5 0.472 0.883 0.874
O6 0.528 0.117 0.126
O7 0.480 0.480 0.785
O8 0.883 0.472 0.874

***

The following is a DFT calculation (PBE-GGA) of crystalline TaCoBr2 at its relaxed geometry.

DOS at the Fermi energy: 1.0759 states/eV per atom
formation energy (no corrections): 0.74 eV per atom
total magnetic moment: 0.59 μB per formula unit
SG: P4/mmm

Cell: 3.249 3.249 6.315 Å, 90.00 90.00 90.00°
Each line ends with the local moment (μB).
Element x y z (fractional)
Br1 0.000 0.000 0.003  0.01
Br2 0.000 0.000 0.497  0.01
Co1 0.500 0.500 0.250  1.11
Ta1 0.500 0.500 0.750  -0.31

***

The following is a DFT calculation (PBE-GGA) of crystalline Ca2AcCu at its relaxed geometry.

DOS at the Fermi energy: 0.7772 states/eV per atom
formation energy from the elements: 0.16 eV/atom
total magnetic moment: 0.00 μB per formula unit
SG: R-3m

Cell: 3.883 3.883 11.414 Å, 80.21 80.21 60.00°
Element x y z (fractional)
Ac1 0.000 0.000 0.000
Ca1 0.112 0.112 0.663
Ca2 0.888 0.888 0.337
Cu1 0.500 0.500 0.500

***

Please write out number 8 again, unchanged.
The following is a DFT calculation (PBE-GGA) of crystalline Ca2AcCu at its relaxed geometry.

DOS at the Fermi energy: 0.7772 states/eV per atom
formation energy from the elements: 0.16 eV/atom
total magnetic moment: 0.00 μB per formula unit
SG: R-3m

Cell: 3.883 3.883 11.414 Å, 80.21 80.21 60.00°
Element x y z (fractional)
Ac1 0.000 0.000 0.000
Ca1 0.112 0.112 0.663
Ca2 0.888 0.888 0.337
Cu1 0.500 0.500 0.500

***

- What is the total magnetic moment in the second record?
  0.86 μB per formula unit

***

- Which value of total magnetic moment does entry 8 give?
  0.00 μB per formula unit